[1]
Computed, not measured: a relaxed NaLiGe3 crystal at the PBE-GGA level of DFT.

abc: 4.719 4.719 4.719
angles: 90.00 90.00 90.00
Atoms (fractional coordinates):
Na 0.500 0.500 0.500
Ge 0.000 0.500 0.000
Ge 0.000 0.000 0.500
Ge 0.500 0.000 0.000
Li 0.000 0.000 0.000

Values from the calculation:
Energy above the most stable polymorph in this dataset = 1.56 eV/f.u.
E_form = 0.2574 eV/atom
Calculated volume = 21.01 A^3/atom


[2]
Computed, not measured: a relaxed NaLi2Ge crystal at the PBE-GGA level of DFT.

abc: 4.503 4.503 5.717
angles: 66.81 66.81 60.00
Each line ends with the local moment (μB).
Atoms (fractional coordinates):
Na 0.490 0.490 0.531  0.00
Li 0.022 0.022 0.934  0.02
Li 0.296 0.296 0.111  0.01
Ge 0.692 0.692 0.925  0.16

Values from the calculation:
E_form = -0.1068 eV/atom
Calculated volume = 22.35 A^3/atom


[3]
Computed, not measured: a relaxed NaLi3Ge crystal at the PBE-GGA level of DFT.

abc: 4.758 4.758 4.758
angles: 90.00 90.00 90.00
Atoms (fractional coordinates):
Na 0.000 0.000 0.000
Ge 0.500 0.500 0.500
Li 0.000 0.500 0.000
Li 0.000 0.000 0.500
Li 0.500 0.000 0.000

Values from the calculation:
Energy above the most stable polymorph in this dataset = 3.09 eV/f.u.
E_form = 0.4864 eV/atom
Calculated volume = 21.55 A^3/atom